TbPrTm4 | PBE | optimized geometry

Cell lengths 8.753, 14.587, 6.501 Å; angles 90.00, 111.63, 90.00 degrees
Space group C2/c (No. 15)
Symmetry-distinct sites (fractional):
Tb 0.000 0.086 0.250
Pr 0.000 0.492 0.250
Tm 0.091 0.301 0.541
Tm 0.200 0.129 0.887

**ΔE to the lowest computed polymorph**: 0.139 eV per atom

Y2HfReOs | PBE | optimized geometry

Cell lengths 5.245, 5.245, 4.942 Å; angles 90.00, 90.00, 90.00 degrees
Space group P4/mmm (No. 123)
Symmetry-distinct sites (fractional):
Y 0.000 0.500 0.000
Hf 0.000 0.000 0.500
Re 0.500 0.500 0.500
Os 0.000 0.000 0.000

**VASP energy**: -41.9 eV per cell

Nd3Ho2Tm8 | PBE | optimized geometry

Cell lengths 19.915, 7.681, 5.580 Å; angles 90.00, 90.02, 90.00 degrees
Space group C2/m (No. 12)
Symmetry-distinct sites (fractional):
Nd 0.000 0.000 0.000
Nd 0.000 0.293 0.500
Ho 0.241 0.000 0.999
Tm 0.110 0.292 0.000
Tm 0.135 0.000 0.500
Tm 0.172 0.500 0.501

**ΔE to the lowest computed polymorph**: 0.231 eV per atom

TaTiS4 | PBE | optimized geometry

Cell lengths 5.992, 5.544, 7.063 Å; angles 90.00, 90.00, 90.00 degrees
Space group Pnc2 (No. 30)
Symmetry-distinct sites (fractional):
Ta 0.000 0.000 0.000
Ti 0.500 0.000 0.204
S 0.175 0.243 0.724
S 0.328 0.748 0.975

**Formation energy from raw total energies**: -1.0349 eV per atom

Pr7Er16Th6 | PBE | optimized geometry

Cell lengths 15.721, 15.721, 15.721 Å; angles 90.00, 90.00, 90.00 degrees
Space group Fm-3m (No. 225)
Symmetry-distinct sites (fractional):
Pr 0.000 0.000 0.000
Pr 0.000 0.250 0.250
Er 0.122 0.122 0.122
Er 0.159 0.159 0.341
Th 0.000 0.000 0.331

**VASP energy**: -565.1 eV per cell

Al2ZnRu | PBE | optimized geometry

Cell lengths 2.8629, 2.8629, 25.7730 Å; angles 90.00, 90.00, 120.00 degrees
Space group R3m (No. 160, hexagonal axes)
Symmetry-distinct sites (fractional):
Al 0.0000 0.0000 0.0000
Al 0.0000 0.0000 0.2431
Zn 0.0000 0.0000 0.7547
Ru 0.0000 0.0000 0.5024

**VASP energy**: -55.4 eV per cell